Entry 1:
# Cs3CeNd2S6, optimized geometry, DFT PBE
# Formation energy without anion corrections   -172.7 kJ/mol of atoms
data_Cs3CeNd2S6
_cell_length_a 7.378
_cell_length_b 12.780
_cell_length_c 8.451
_cell_angle_alpha 90.00
_cell_angle_beta 106.92
_cell_angle_gamma 90.00
_symmetry_space_group_name_H-M 'C 1 2/m 1'
_symmetry_Int_Tables_number 12
loop_
_symmetry_equiv_pos_as_xyz
'x,y,z'
'-x,-y,-z'
'-x,y,-z'
'x,-y,z'
'x+1/2,y+1/2,z'
'-x+1/2,-y+1/2,-z'
'-x+1/2,y+1/2,-z'
'x+1/2,-y+1/2,z'
loop_
_atom_site_label
_atom_site_type_symbol
_atom_site_fract_x
_atom_site_fract_y
_atom_site_fract_z
Cs1 Cs 0.000 0.000 0.000
Cs2 Cs 0.000 0.333 0.000
Ce1 Ce 0.000 0.500 0.500
Nd1 Nd 0.000 0.167 0.500
S1 S 0.228 0.334 0.686
S2 S 0.229 0.000 0.686

Entry 2:
# HoPd2Pt3, optimized geometry, DFT PBE
# ΔE_f   -0.469 eV per atom
data_HoPd2Pt3
_cell_length_a 5.690
_cell_length_b 14.018
_cell_length_c 5.259
_cell_angle_alpha 90.00
_cell_angle_beta 90.00
_cell_angle_gamma 90.00
_symmetry_space_group_name_H-M 'C m c m'
_symmetry_Int_Tables_number 63
_symmetry_space_group_name_Hall '-C 2c 2'
loop_
_atom_site_label
_atom_site_type_symbol
_atom_site_fract_x
_atom_site_fract_y
_atom_site_fract_z
Ho1 Ho 0.000 0.156 0.250
Pd1 Pd 0.237 0.500 0.000
Pt1 Pt 0.000 0.341 0.750
Pt2 Pt 0.247 0.170 0.750

Entry 3:
# TaTc, optimized geometry, DFT PBE
# ΔE_f   -0.497 eV per atom
data_TaTc
_cell_length_a 3.188
_cell_length_b 3.188
_cell_length_c 3.188
_cell_angle_alpha 90.00
_cell_angle_beta 90.00
_cell_angle_gamma 90.00
_symmetry_space_group_name_H-M 'P m -3 m'
_symmetry_Int_Tables_number 221
_symmetry_space_group_name_Hall '-P 4 2 3'
loop_
_atom_site_label
_atom_site_type_symbol
_atom_site_fract_x
_atom_site_fract_y
_atom_site_fract_z
Ta1 Ta 0.000 0.000 0.000
Tc1 Tc 0.500 0.500 0.500

Entry 4:
# Mg2Zr2Ir, optimized geometry, DFT PBE
# ΔE_f   0.555 eV per atom
data_Mg2Zr2Ir
_cell_length_a 3.820
_cell_length_b 3.820
_cell_length_c 14.446
_cell_angle_alpha 90.00
_cell_angle_beta 90.00
_cell_angle_gamma 90.00
_symmetry_space_group_name_H-M 'I 4/m m m'
_symmetry_Int_Tables_number 139
_symmetry_space_group_name_Hall '-I 4 2'
loop_
_atom_site_label
_atom_site_type_symbol
_atom_site_fract_x
_atom_site_fract_y
_atom_site_fract_z
Mg1 Mg 0.000 0.000 0.086
Zr1 Zr 0.000 0.500 0.250
Ir1 Ir 0.000 0.000 0.500

Entry 5:
# YMg2Mo, optimized geometry, DFT PBE
# ΔE_f   0.328 eV per atom
# Excess energy over the best structure of this formula in the dataset   0.183 eV/f.u.
data_YMg2Mo
_cell_length_a 3.009
_cell_length_b 4.752
_cell_length_c 6.260
_cell_angle_alpha 90.00
_cell_angle_beta 103.12
_cell_angle_gamma 90.00
_symmetry_space_group_name_H-M 'P 1 m 1'
_symmetry_Int_Tables_number 6
loop_
_symmetry_equiv_pos_as_xyz
'x,y,z'
'x,-y,z'
loop_
_atom_site_label
_atom_site_type_symbol
_atom_site_fract_x
_atom_site_fract_y
_atom_site_fract_z
Y1 Y 0.000 0.000 0.000
Mg1 Mg 0.318 0.000 0.533
Mg2 Mg 0.691 0.500 0.329
Mo1 Mo 0.388 0.500 0.795

Entry 6:
# ZnHgBr2, optimized geometry, DFT PBE
# Excess energy over the best structure of this formula in the dataset   1.189 eV/f.u.
# Formation energy without anion corrections   -31.8 kJ/mol of atoms
data_ZnHgBr2
_cell_length_a 3.636
_cell_length_b 7.449
_cell_length_c 9.331
_cell_angle_alpha 90.00
_cell_angle_beta 90.00
_cell_angle_gamma 90.00
_symmetry_space_group_name_H-M 'I m m 2'
_symmetry_Int_Tables_number 44
loop_
_symmetry_equiv_pos_as_xyz
'x,y,z'
'-x,-y,z'
'-x,y,z'
'x,-y,z'
'x+1/2,y+1/2,z+1/2'
'-x+1/2,-y+1/2,z+1/2'
'-x+1/2,y+1/2,z+1/2'
'x+1/2,-y+1/2,z+1/2'
loop_
_atom_site_label
_atom_site_type_symbol
_atom_site_fract_x
_atom_site_fract_y
_atom_site_fract_z
Zn1 Zn 0.000 0.000 0.000
Hg1 Hg 0.000 0.500 0.720
Br1 Br 0.000 0.000 0.451
Br2 Br 0.000 0.500 0.316

Computed DOS(E_F) (states/eV/cell) in order:
8.7 29.7 0.7 6.9 2.5 0.0
Computed magnetization (μB per cell) in order:
1.978 0.000 0.000 0.000 0.000 0.000